[1]
Material: KPuTl4
Method: DFT, PBE
State: optimized geometry

Calculated values
Magnetization in μB per atom: 0.993
Energy relative to the elements in eV/f.u.: 0.55

```
data_KPuTl4
_chemical_formula_sum 'K4 Pu4 Tl16'
_cell_length_a 9.118
_cell_length_b 9.118
_cell_length_c 9.118
_cell_angle_alpha 90.00
_cell_angle_beta 90.00
_cell_angle_gamma 90.00
_space_group_name_H-M_alt 'F -4 3 m'
_space_group_IT_number 216
_space_group_name_Hall 'F -4 2 3'
loop_
_atom_site_label
_atom_site_fract_x
_atom_site_fract_y
_atom_site_fract_z
K1 0.000 0.000 0.000
Pu1 0.250 0.250 0.750
Tl1 0.125 0.125 0.375
```

---

[2]
Material: Ac2SnP3Rh4
Method: DFT, PBE
State: optimized geometry

Calculated values
Magnetization in μB per atom: 0.056
Energy relative to the elements in eV/f.u.: -8.95

```
data_Ac2SnP3Rh4
_chemical_formula_sum 'Ac2 Sn1 P3 Rh4'
_cell_length_a 4.295
_cell_length_b 4.295
_cell_length_c 10.374
_cell_angle_alpha 90.00
_cell_angle_beta 90.00
_cell_angle_gamma 90.00
_space_group_name_H-M_alt 'P -4 m 2'
_space_group_IT_number 115
loop_
_space_group_symop_operation_xyz
'x,y,z'
'y,-x,-z'
'-x,-y,z'
'-y,x,-z'
'-x,y,z'
'-y,-x,-z'
'x,-y,z'
'y,x,-z'
loop_
_atom_site_label
_atom_site_fract_x
_atom_site_fract_y
_atom_site_fract_z
Ac1 0.000 0.500 0.243
Sn1 0.000 0.000 0.500
P1 0.000 0.500 0.876
P2 0.500 0.500 0.500
Rh1 0.000 0.000 0.000
Rh2 0.000 0.500 0.646
Rh3 0.500 0.500 0.000
```

---

[3]
Material: TmThCuTc
Method: DFT, PBE
State: optimized geometry

Calculated values
Magnetization in μB per atom: 0.000
Energy relative to the elements in eV/f.u.: -0.65
Energy above the lowest structure with this stoichiometry in meV/atom: 0.0

```
data_TmThCuTc
_chemical_formula_sum 'Tm1 Th1 Cu1 Tc1'
_cell_length_a 3.489
_cell_length_b 3.489
_cell_length_c 7.076
_cell_angle_alpha 90.00
_cell_angle_beta 90.00
_cell_angle_gamma 90.00
_space_group_name_H-M_alt 'P 4 m m'
_space_group_IT_number 99
loop_
_space_group_symop_operation_xyz
'x,y,z'
'-y,x,z'
'-x,-y,z'
'y,-x,z'
'-x,y,z'
'y,x,z'
'x,-y,z'
'-y,-x,z'
loop_
_atom_site_label
_atom_site_fract_x
_atom_site_fract_y
_atom_site_fract_z
Tm1 0.000 0.000 0.000
Th1 0.000 0.000 0.521
Cu1 0.500 0.500 0.231
Tc1 0.500 0.500 0.757
```

---

[4]
Material: LiTl2SnH
Method: DFT, PBE
State: optimized geometry

Calculated values
Raw total energy in eV/atom: -2.8030
Magnetization in μB per atom: 0.000

```
data_LiTl2SnH
_chemical_formula_sum 'Li1 Tl2 Sn1 H1'
_cell_length_a 5.610
_cell_length_b 5.610
_cell_length_c 3.584
_cell_angle_alpha 90.00
_cell_angle_beta 90.00
_cell_angle_gamma 90.00
_space_group_name_H-M_alt 'P 4/m m m'
_space_group_IT_number 123
_space_group_name_Hall '-P 4 2'
loop_
_atom_site_label
_atom_site_fract_x
_atom_site_fract_y
_atom_site_fract_z
Li1 0.000 0.000 0.000
Tl1 0.000 0.500 0.500
Sn1 0.500 0.500 0.000
H1 0.000 0.000 0.500
```